## Ba3NdPa2O9 (GGA-PBE)

Data for an optimized crystal structure of Ba3NdPa2O9.

Unit cell a=6.3857 b=6.3857 c=7.8178 alpha=90.00 beta=90.00 gamma=120.00
Closest atoms and distances in Å follow each position.
Sites, in units of the cell vectors:
Ba 0.0000 0.0000 0.0000  12 O 3.19
Ba 0.3333 0.6667 0.6544  12 O 3.11-3.27
Ba 0.6667 0.3333 0.3456  12 O 3.11-3.27
Nd 0.0000 0.0000 0.5000  6 O 2.34
Pa 0.3333 0.6667 0.1648  6 O 2.18-2.25
Pa 0.6667 0.3333 0.8352  6 O 2.18-2.25
O 0.0000 0.5000 0.0000  2 Pa 2.25
O 0.1727 0.3454 0.3275  1 Pa 2.18, 1 Nd 2.34
O 0.1727 0.8273 0.3275  1 Pa 2.18, 1 Nd 2.34
O 0.3454 0.1727 0.6725  1 Pa 2.18, 1 Nd 2.34
O 0.5000 0.0000 0.0000  2 Pa 2.25
O 0.5000 0.5000 0.0000  2 Pa 2.25
O 0.6546 0.8273 0.3275  1 Pa 2.18, 1 Nd 2.34
O 0.8273 0.1727 0.6725  1 Pa 2.18, 1 Nd 2.34
O 0.8273 0.6546 0.6725  1 Pa 2.18, 1 Nd 2.34

## Properties
Its total energy is -8.15 eV per atom. The energy relative to the elements, uncorrected comes out at -309.64 kJ per mole of atoms.


## Pm2HoPa (GGA-PBE)

Data for an optimized crystal structure of Pm2HoPa.

Unit cell a=4.9908 b=4.9908 c=4.9301 alpha=90.00 beta=90.00 gamma=90.00
Closest atoms and distances in Å follow each position.
Sites, in units of the cell vectors:
Pm 0.0000 0.5000 0.0000  4 Pa 3.51, 4 Ho 3.51, 4 Pm 3.53
Pm 0.5000 0.0000 0.0000  4 Pa 3.51, 4 Ho 3.51, 4 Pm 3.53
Ho 0.0000 0.0000 0.5000  8 Pm 3.51, 4 Pa 3.53
Pa 0.5000 0.5000 0.5000  8 Pm 3.51, 4 Ho 3.53

## Properties
Its total energy is -5.64 eV per atom. As for the formation energy from the elements: 249 meV per atom.


## La2Tb5YSc (GGA-PBE)

Data for an optimized crystal structure of La2Tb5YSc.

Unit cell a=11.2784 b=11.2784 c=9.9861 alpha=90.00 beta=90.00 gamma=152.08
Closest atoms and distances in Å follow each position.
Sites, in units of the cell vectors:
La 0.1169 0.8831 0.5000  1 Sc 3.38, 9 Tb 3.50-3.74, 2 Y 3.78
La 0.1172 0.8828 0.9798  1 Sc 3.38, 9 Tb 3.50-3.74, 2 Y 3.78
La 0.8831 0.1169 0.0000  1 Sc 3.38, 9 Tb 3.50-3.74, 2 Y 3.78
La 0.8828 0.1172 0.4798  1 Sc 3.38, 9 Tb 3.50-3.74, 2 Y 3.78
Tb 0.9996 0.0004 0.2400  4 La 3.50-3.66, 2 Y 3.53, 6 Tb 3.69-3.88
Tb 0.0004 0.9996 0.7400  4 La 3.50-3.66, 2 Y 3.53, 6 Tb 3.69-3.88
Tb 0.2767 0.7233 0.5540  2 Tb 3.23, 1 Y 3.24, 3 Sc 3.30-3.41, 1 La 3.54
Tb 0.2770 0.7230 0.9266  2 Tb 3.23, 1 Y 3.24, 3 Sc 3.30-3.41, 1 La 3.54
Tb 0.3734 0.6266 0.2400  1 Sc 3.45, 4 La 3.63, 4 Tb 3.73-3.78
Tb 0.4999 0.5001 0.4899  2 Y 3.35, 6 Tb 3.69-3.73, 4 La 3.74
Tb 0.5001 0.4999 0.9899  2 Y 3.35, 6 Tb 3.69-3.73, 4 La 3.74
Tb 0.6266 0.3734 0.7400  1 Sc 3.45, 4 La 3.63, 4 Tb 3.73-3.78
Tb 0.7233 0.2767 0.0540  2 Tb 3.23, 1 Y 3.24, 3 Sc 3.30-3.41, 1 La 3.54
Tb 0.7230 0.2770 0.4266  2 Tb 3.23, 1 Y 3.24, 3 Sc 3.30-3.41, 1 La 3.54
Y 0.3979 0.6021 0.7400  6 Tb 3.24-3.53
Y 0.6021 0.3979 0.2400  6 Tb 3.24-3.53
Sc 0.2158 0.7842 0.2402  7 Tb 3.30-3.45, 2 La 3.38, 2 Y 3.69
Sc 0.7842 0.2158 0.7402  7 Tb 3.30-3.45, 2 La 3.38, 2 Y 3.69

## Properties
Its total energy is -4.96 eV per atom. As for the formation energy from the elements: 130 meV per atom.


## Cs3Ga5Sn2 (GGA-PBE)

Data for an optimized crystal structure of Cs3Ga5Sn2.

Unit cell a=10.2827 b=10.2827 c=10.2827 alpha=116.44 beta=79.69 gamma=137.19
Closest atoms and distances in Å follow each position.
Sites, in units of the cell vectors:
Cs 0.1132 0.7451 0.8583  1 Sn 3.54, 5 Ga 3.71-3.89, 2 Cs 3.79
Cs 0.2500 0.2500 0.0000  4 Sn 3.66, 6 Cs 3.75-3.79
Cs 0.3868 0.2451 0.6319  1 Sn 3.54, 5 Ga 3.71-3.89, 2 Cs 3.79
Cs 0.6132 0.7549 0.3681  1 Sn 3.54, 5 Ga 3.71-3.89, 2 Cs 3.79
Cs 0.7500 0.7500 0.0000  4 Sn 3.66, 6 Cs 3.75-3.79
Cs 0.8868 0.2549 0.1417  1 Sn 3.54, 5 Ga 3.71-3.89, 2 Cs 3.79
Ga 0.0201 0.7500 0.2701  2 Ga 2.79, 2 Sn 2.81
Ga 0.1249 0.3861 0.5111  4 Ga 2.79-2.99, 1 Sn 2.83
Ga 0.2500 0.7500 0.5000  4 Ga 2.99
Ga 0.3751 0.8861 0.2612  4 Ga 2.79-2.99, 1 Sn 2.83
Ga 0.4799 0.7500 0.7299  2 Ga 2.79, 2 Sn 2.81
Ga 0.5201 0.2500 0.2701  2 Ga 2.79, 2 Sn 2.81
Ga 0.6249 0.1139 0.7388  4 Ga 2.79-2.99, 1 Sn 2.83
Ga 0.7500 0.2500 0.5000  4 Ga 2.99
Ga 0.8751 0.6139 0.4889  4 Ga 2.79-2.99, 1 Sn 2.83
Ga 0.9799 0.2500 0.7299  2 Ga 2.79, 2 Sn 2.81
Sn 0.1756 0.1358 0.3114  3 Ga 2.81-2.83
Sn 0.3244 0.6358 0.9601  3 Ga 2.81-2.83
Sn 0.6756 0.3642 0.0399  3 Ga 2.81-2.83
Sn 0.8244 0.8642 0.6886  3 Ga 2.81-2.83

## Properties
Its total energy is -2.59 eV per atom. As for the formation energy from the elements: -21 meV per atom.


## NdTiSe2 (GGA-PBE)

Data for an optimized crystal structure of NdTiSe2.

Unit cell a=9.1234 b=9.1234 c=9.1234 alpha=23.35 beta=23.35 gamma=23.35
Closest atoms and distances in Å follow each position.
Sites, in units of the cell vectors:
Nd 0.0000 0.0000 0.0000  2 Se 2.93
Ti 0.5000 0.5000 0.5000  6 Se 2.61
Se 0.1100 0.1100 0.1100  3 Ti 2.61
Se 0.8900 0.8900 0.8900  3 Ti 2.61

## Properties
Its total energy is -5.84 eV per atom. The energy relative to the elements, uncorrected comes out at -89.83 kJ per mole of atoms.


## LiEr2UP4 (GGA-PBE)

Data for an optimized crystal structure of LiEr2UP4.

Unit cell a=6.6868 b=3.9550 c=6.8081 alpha=90.00 beta=108.46 gamma=90.00
Closest atoms and distances in Å follow each position.
Sites, in units of the cell vectors:
Li 0.0000 0.0000 0.0000  6 P 2.71-2.80
Er 0.0000 0.5000 0.5000  6 P 2.82-2.84
Er 0.5000 0.0000 0.5000  6 P 2.76-2.79
U 0.5000 0.5000 0.0000  6 P 2.64-2.76
P 0.2531 0.0000 0.7574  1 Li 2.71, 3 Er 2.76-2.82, 2 U 2.76
P 0.2607 0.5000 0.2422  1 U 2.64, 3 Er 2.79-2.84, 2 Li 2.80
P 0.7393 0.5000 0.7578  1 U 2.64, 3 Er 2.79-2.84, 2 Li 2.80
P 0.7469 0.0000 0.2426  1 Li 2.71, 3 Er 2.76-2.82, 2 U 2.76

## Properties
Its total energy is -6.58 eV per atom. As for the formation energy from the elements: -1079 meV per atom.


## PmCd2Rh (GGA-PBE)

Data for an optimized crystal structure of PmCd2Rh.

Unit cell a=4.9523 b=4.9523 c=4.9523 alpha=60.00 beta=60.00 gamma=60.00
Closest atoms and distances in Å follow each position.
Sites, in units of the cell vectors:
Pm 0.0000 0.0000 0.0000  8 Cd 3.03
Cd 0.2500 0.2500 0.2500  4 Rh 3.03, 4 Pm 3.03
Cd 0.7500 0.7500 0.7500  4 Rh 3.03, 4 Pm 3.03
Rh 0.5000 0.5000 0.5000  8 Cd 3.03

## Properties
Its total energy is -3.70 eV per atom. As for the formation energy from the elements: -215 meV per atom.


## GaI (GGA-PBE)

Data for an optimized crystal structure of GaI.

Unit cell a=8.2041 b=8.2041 c=8.2041 alpha=109.47 beta=109.47 gamma=109.47
Closest atoms and distances in Å follow each position.
Sites, in units of the cell vectors:
Ga 0.0000 0.0000 0.7632  1 I 2.87, 3 Ga 3.17
Ga 0.0000 0.7632 0.0000  1 I 2.87, 3 Ga 3.17
Ga 0.2368 0.2368 0.2368  1 I 2.87, 3 Ga 3.17
Ga 0.7632 0.0000 0.0000  1 I 2.87, 3 Ga 3.17
I 0.0000 0.0000 0.4130  1 Ga 2.87
I 0.0000 0.4130 0.0000  1 Ga 2.87
I 0.4130 0.0000 0.0000  1 Ga 2.87
I 0.5870 0.5870 0.5870  1 Ga 2.87

## Properties
Its total energy is -2.52 eV per atom. The energy relative to the elements, uncorrected comes out at -22.02 kJ per mole of atoms.